13
Lattice="6.605 0.275 0.000 -3.064 5.857 0.000 0.000 0.000 11.135" Properties=species:S:1:pos:R:3 comment="PmSm6Ho6, relaxed, DFT PBE" e_form_mev_per_atom=217.6 final_energy_ev_per_atom=-4.44 pbc="T T T"
Ho 3.302 0.138 2.512
Ho -1.532 2.928 2.507
Ho 3.302 0.138 8.624
Ho 1.771 3.066 7.779
Ho 1.771 3.066 3.357
Ho -1.532 2.928 8.628
Sm -0.507 4.379 5.568
Sm 3.144 2.267 0.000
Sm 4.048 1.752 5.568
Sm 0.000 0.000 3.696
Sm 0.397 3.865 0.000
Sm 0.000 0.000 7.439
Pm 0.000 0.000 0.000